(1)
Li2CdIr SCAN single point on PBEsol structure; uncorrected energy = -26.694 eV/atom; energy of formation = -120.2 meV/atom
1.0
2.635 0.000 0.000
0.000 4.234 0.000
0.000 0.000 5.436
Li Cd Ir
2 1 1
Direct
0.000 0.000 0.000
0.500 0.500 0.264
0.000 0.000 0.519
0.500 0.500 0.781



(2)
La6Mg23P SCAN single point on PBEsol structure; uncorrected energy = -13.033 eV/atom; energy of formation = -252.2 meV/atom
1.0
0.000 7.242 7.242
7.242 0.000 7.242
7.242 7.242 0.000
La Mg P
6 23 1
Direct
0.200 0.200 0.800
0.200 0.800 0.200
0.200 0.800 0.800
0.800 0.200 0.200
0.800 0.200 0.800
0.800 0.800 0.200
0.000 0.000 0.500
0.000 0.500 0.000
0.000 0.500 0.500
0.136 0.621 0.621
0.171 0.171 0.171
0.171 0.171 0.486
0.171 0.486 0.171
0.379 0.379 0.379
0.379 0.379 0.864
0.379 0.864 0.379
0.486 0.171 0.171
0.500 0.000 0.000
0.500 0.000 0.500
0.500 0.500 0.000
0.500 0.500 0.500
0.514 0.829 0.829
0.621 0.136 0.621
0.621 0.621 0.136
0.621 0.621 0.621
0.829 0.514 0.829
0.829 0.829 0.514
0.829 0.829 0.829
0.864 0.379 0.379
0.000 0.000 0.000



(3)
NaPb3I SCAN single point on PBEsol structure; ΔE_f (raw) = 0.409 eV per atom; excess energy over the best structure of this formula in the dataset = 0 meV/atom; uncorrected energy = -53.251 eV/atom
1.0
5.561 0.000 0.000
0.000 5.561 0.000
0.000 0.000 5.561
Na Pb I
1 3 1
Direct
0.000 0.000 0.000
0.000 0.000 0.500
0.000 0.500 0.000
0.500 0.000 0.000
0.500 0.500 0.500



(4)
CdFeHg2 SCAN single point on PBEsol structure; uncorrected energy = -46.022 eV/atom; energy of formation = 197.0 meV/atom
1.0
-1.442 2.280 5.990
1.442 -2.280 5.990
1.442 2.280 -5.990
Cd Fe Hg
1 1 2
Direct
0.000 0.000 0.000
0.194 0.694 0.500
0.386 0.386 0.000
0.686 0.186 0.500



(5)
Mg2PdAu SCAN single point on PBEsol structure; uncorrected energy = -28.747 eV/atom; energy of formation = -777.0 meV/atom
1.0
0.000 3.198 3.198
3.198 0.000 3.198
3.198 3.198 0.000
Mg Pd Au
2 1 1
Direct
0.250 0.250 0.250
0.750 0.750 0.750
0.000 0.000 0.000
0.500 0.500 0.500



(6)
K2CaCdSe SCAN single point on PBEsol structure; ΔE_f (raw) = -0.224 eV per atom; uncorrected energy = -15.586 eV/atom
1.0
7.154 0.000 0.000
0.000 7.154 0.000
0.000 0.000 5.234
K Ca Cd Se
2 1 1 1
Direct
0.000 0.500 0.000
0.500 0.000 0.000
0.000 0.000 0.000
0.500 0.500 0.500
0.000 0.000 0.500



(7)
MgNb3Br SCAN single point on PBEsol structure; ΔE_f (raw) = 1.915 eV per atom; uncorrected energy = -22.850 eV/atom
1.0
4.806 0.000 0.000
0.000 4.806 0.000
0.000 0.000 4.806
Mg Nb Br
1 3 1
Direct
0.000 0.000 0.000
0.000 0.000 0.500
0.000 0.500 0.000
0.500 0.000 0.000
0.500 0.500 0.500



(8)
LiV2F9 SCAN single point on PBEsol structure; ΔE_f (raw) = -3.020 eV per atom; excess energy over the best structure of this formula in the dataset = 31 meV/atom; uncorrected energy = -8.789 eV/atom
1.0
4.325 -2.497 0.000
4.325 2.497 0.000
-0.010 0.000 14.074
Li V F
2 4 18
Direct
0.000 0.000 0.000
0.000 0.000 0.500
0.667 0.667 0.151
0.667 0.667 0.349
0.667 0.667 0.651
0.667 0.667 0.849
0.345 0.699 0.587
0.345 0.699 0.913
0.345 0.956 0.087
0.345 0.956 0.413
0.407 0.950 0.750
0.408 0.643 0.250
0.643 0.408 0.750
0.643 0.950 0.250
0.699 0.345 0.087
0.699 0.345 0.413
0.699 0.956 0.913
0.699 0.957 0.587
0.950 0.407 0.250
0.950 0.643 0.750
0.956 0.345 0.587
0.956 0.345 0.913
0.956 0.699 0.413
0.957 0.699 0.087



(9)
ZrMn2Os SCAN single point on PBEsol structure; excess energy over the best structure of this formula in the dataset = 125 meV/atom; uncorrected energy = -34.815 eV/atom; energy of formation = -43.1 meV/atom
1.0
4.318 0.000 0.000
0.000 4.318 0.000
0.000 0.000 2.975
Zr Mn Os
1 2 1
Direct
0.000 0.000 0.000
0.000 0.500 0.500
0.500 0.000 0.500
0.500 0.500 0.000



(10)
ErAl3Ni2 SCAN single point on PBEsol structure; uncorrected energy = -18.345 eV/atom; energy of formation = -687.9 meV/atom
1.0
5.183 0.000 0.000
-2.591 4.488 0.000
0.000 0.000 3.939
Er Al Ni
1 3 2
Direct
0.000 0.000 0.000
0.000 0.500 0.500
0.500 0.000 0.500
0.500 0.500 0.500
0.333 0.667 0.000
0.667 0.333 0.000



(11)
Zr10Al6O SCAN single point on PBEsol structure; ΔE_f (raw) = -0.728 eV per atom; uncorrected energy = -21.889 eV/atom
1.0
8.233 0.000 0.000
-4.116 7.130 0.000
0.000 0.000 5.445
Zr Al O
10 6 1
Direct
0.000 0.232 0.252
0.000 0.768 0.748
0.232 0.000 0.252
0.232 0.232 0.748
0.333 0.667 0.000
0.333 0.667 0.500
0.667 0.333 0.000
0.667 0.333 0.500
0.768 0.000 0.748
0.768 0.768 0.252
0.000 0.398 0.754
0.000 0.602 0.246
0.398 0.000 0.754
0.398 0.398 0.246
0.602 0.000 0.246
0.602 0.602 0.754
0.000 0.000 0.500



(12)
YReNi2 SCAN single point on PBEsol structure; excess energy over the best structure of this formula in the dataset = 0 meV/atom; uncorrected energy = -32.658 eV/atom; energy of formation = 164.0 meV/atom
1.0
3.012 0.000 0.000
0.000 3.012 0.000
0.000 0.000 6.595
Y Re Ni
1 1 2
Direct
0.000 0.000 0.000
0.500 0.500 0.667
0.000 0.000 0.467
0.500 0.500 0.286



(13)
Be2PPb SCAN single point on PBEsol structure; excess energy over the best structure of this formula in the dataset = 0 meV/atom; uncorrected energy = -23.254 eV/atom; energy of formation = 468.2 meV/atom
1.0
-1.678 2.831 3.632
1.678 -2.831 3.632
1.678 2.831 -3.632
Be P Pb
2 1 1
Direct
0.177 0.177 0.000
0.823 0.823 0.000
0.000 0.500 0.500
0.500 0.000 0.500



(14)
KMg2Be SCAN single point on PBEsol structure; uncorrected energy = -5.061 eV/atom; energy of formation = 596.5 meV/atom
1.0
-3.033 3.033 7.667
3.033 -3.033 7.667
3.033 3.033 -7.667
K Mg Be
2 4 2
Direct
0.375 0.625 0.750
0.625 0.375 0.250
0.000 0.000 0.000
0.000 0.000 0.500
0.000 0.500 0.000
0.500 0.000 0.500
0.125 0.875 0.250
0.875 0.125 0.750



(15)
CaCdSe2 SCAN single point on PBEsol structure; ΔE_f (raw) = -1.211 eV per atom; uncorrected energy = -21.270 eV/atom
1.0
2.238 1.292 7.631
-2.238 1.292 7.631
0.000 -2.584 7.631
Ca Cd Se
1 1 2
Direct
0.000 0.000 0.000
0.500 0.500 0.500
0.394 0.394 0.394
0.606 0.606 0.606



(16)
RbTlW3 SCAN single point on PBEsol structure; uncorrected energy = -56.201 eV/atom; energy of formation = 4231.1 meV/atom
1.0
4.716 0.000 0.000
0.000 4.716 0.000
0.000 0.000 4.716
Rb Tl W
1 1 3
Direct
0.000 0.000 0.000
0.500 0.500 0.500
0.000 0.000 0.500
0.000 0.500 0.000
0.500 0.000 0.000



(17)
K2MnPb SCAN single point on PBEsol structure; uncorrected energy = -27.426 eV/atom; energy of formation = 247.3 meV/atom
1.0
3.077 -5.533 0.000
3.077 5.533 0.000
0.000 0.000 3.739
K Mn Pb
2 1 1
Direct
0.000 0.500 0.000
0.500 0.000 0.000
0.000 0.000 0.500
0.500 0.500 0.500



(18)
Rb2MgNbHg SCAN single point on PBEsol structure; uncorrected energy = -28.604 eV/atom; energy of formation = 945.4 meV/atom
1.0
6.772 0.000 0.000
0.000 6.772 0.000
0.000 0.000 5.443
Rb Mg Nb Hg
2 1 1 1
Direct
0.000 0.500 0.000
0.500 0.000 0.000
0.000 0.000 0.500
0.500 0.500 0.000
0.500 0.500 0.500



(19)
KLaY2 SCAN single point on PBEsol structure; uncorrected energy = -26.249 eV/atom; energy of formation = 530.6 meV/atom
1.0
0.000 4.148 4.148
4.148 0.000 4.148
4.148 4.148 0.000
K La Y
1 1 2
Direct
0.000 0.000 0.000
0.500 0.500 0.500
0.250 0.250 0.250
0.750 0.750 0.750



(20)
Er2Hf2O7 SCAN single point on PBEsol structure; ΔE_f (raw) = -3.891 eV per atom; uncorrected energy = -28.404 eV/atom
1.0
0.000 5.162 5.162
5.162 0.000 5.162
5.162 5.162 0.000
Er Hf O
4 4 14
Direct
0.000 0.000 0.000
0.000 0.000 0.500
0.000 0.500 0.000
0.500 0.000 0.000
0.000 0.500 0.500
0.500 0.000 0.500
0.500 0.500 0.000
0.500 0.500 0.500
0.125 0.125 0.125
0.159 0.159 0.591
0.159 0.591 0.159
0.159 0.591 0.591
0.409 0.409 0.841
0.409 0.841 0.409
0.409 0.841 0.841
0.591 0.159 0.159
0.591 0.159 0.591
0.591 0.591 0.159
0.841 0.409 0.409
0.841 0.409 0.841
0.841 0.841 0.409
0.875 0.875 0.875



(21)
K2BiPWO8 SCAN single point on PBEsol structure; ΔE_f (raw) = -2.235 eV per atom; uncorrected energy = -19.556 eV/atom
1.0
-3.534 6.211 9.862
3.534 -6.211 9.862
3.534 6.211 -9.862
K Bi P W O
8 4 4 4 32
Direct
0.077 0.685 0.451
0.234 0.185 0.108
0.266 0.374 0.951
0.423 0.874 0.608
0.577 0.126 0.392
0.734 0.626 0.049
0.766 0.815 0.892
0.923 0.315 0.549
0.172 0.750 0.922
0.328 0.250 0.578
0.672 0.750 0.422
0.828 0.250 0.078
0.072 0.250 0.322
0.428 0.750 0.178
0.572 0.250 0.822
0.928 0.750 0.678
0.082 0.832 0.250
0.418 0.668 0.750
0.582 0.332 0.250
0.918 0.168 0.750
0.061 0.337 0.273
0.064 0.837 0.776
0.083 0.163 0.808
0.102 0.677 0.013
0.140 0.409 0.570
0.145 0.725 0.308
0.161 0.091 0.232
0.163 0.089 0.487
0.337 0.823 0.926
0.339 0.570 0.930
0.355 0.663 0.580
0.360 0.930 0.268
0.398 0.411 0.574
0.417 0.225 0.080
0.436 0.212 0.773
0.439 0.712 0.276
0.561 0.288 0.724
0.564 0.788 0.227
0.583 0.775 0.920
0.602 0.589 0.426
0.640 0.070 0.732
0.645 0.337 0.420
0.661 0.430 0.070
0.663 0.177 0.074
0.837 0.911 0.513
0.839 0.909 0.768
0.855 0.275 0.692
0.860 0.591 0.430
0.898 0.323 0.987
0.917 0.837 0.192
0.936 0.163 0.224
0.939 0.663 0.727



(22)
Li2GaPt SCAN single point on PBEsol structure; uncorrected energy = -23.617 eV/atom; energy of formation = -787.4 meV/atom
1.0
0.000 2.995 2.995
2.995 0.000 2.995
2.995 2.995 0.000
Li Ga Pt
2 1 1
Direct
0.000 0.000 0.000
0.250 0.250 0.250
0.500 0.500 0.500
0.750 0.750 0.750